(1)
{
  "formula": "Fe2TeW",
  "functional": "PBE",
  "state": "optimized geometry",
  "dft_energy_ev_per_atom": -7.246,
  "sg": "I-42d (122)",
  "dos_ef_per_ev_fu": 3.38,
  "mass_density_g_cm3": 8.538,
  "lattice": [[5.426, 0.000, 0.000], [0.000, 5.426, 0.000], [2.713, 2.713, 5.591]],
  "species": ["Te", "Te", "W", "W", "Fe", "Fe", "Fe", "Fe"],
  "frac_coords": [[0.500, 0.500, 0.000], [0.250, 0.750, 0.500], [0.000, 0.000, 0.000], [0.750, 0.250, 0.500], [0.375, 0.352, 0.750], [0.102, 0.625, 0.250], [0.648, 0.125, 0.250], [0.875, 0.898, 0.750]]
}

=====

(2)
{
  "formula": "LaCu2W",
  "functional": "PBE",
  "state": "optimized geometry",
  "formation_energy_mev_per_atom": 818,
  "sg": "I-42d (122)",
  "dos_ef_per_ev_fu": 6.10,
  "mass_density_g_cm3": 8.410,
  "lattice": [[-1.984, -1.473, -3.727], [-1.933, -3.291, 2.329], [-8.933, 2.872, 0.938]],
  "species": ["W", "W", "Cu", "Cu", "Cu", "Cu", "La", "La"],
  "frac_coords": [[0.000, 0.000, 0.000], [0.750, 0.250, 0.500], [0.875, 0.044, 0.750], [0.956, 0.625, 0.250], [0.794, 0.125, 0.250], [0.375, 0.206, 0.750], [0.500, 0.500, 0.000], [0.250, 0.750, 0.500]]
}